A plane-wave DFT calculation with PBE with a Hubbard U was carried out for a geometry-optimized MoOsNO2 structure.

a = 3.8671 Å, b = 3.8671 Å, c = 4.1596 Å
α = 90.00°, β = 90.00°, γ = 90.00°
Last column: nearest neighbours and their distance in Å.
Atoms (fractional coordinates):
1 Mo 0.0000 0.0000 0.0000  4 O 1.93, 2 N 2.08
2 Os 0.5000 0.5000 0.5000  4 N 2.73, 8 O 2.84
3 O 0.0000 0.5000 0.0000  2 Mo 1.93
4 O 0.5000 0.0000 0.0000  2 Mo 1.93
5 N 0.0000 0.0000 0.5000  2 Mo 2.08

## Properties
Spin magnetization in μB per formula unit: 4.213
Uncorrected energy in eV per atom: -6.65